First-principles (PBE) data for crystalline La5ErPb6 at its relaxed geometry, as listed in Alexandria via LeMat-Bulk.

Cell: 5.151 9.276 8.159 Å, 90.00 72.20 90.00°
Sites, in units of the cell vectors:
Pb (0.500, 0.753, 0.000)
Pb (0.837, 0.246, 0.327)
Pb (0.163, 0.754, 0.673)
Pb (0.163, 0.246, 0.673)
Pb (0.500, 0.247, 0.000)
Pb (0.837, 0.754, 0.327)
La (0.000, 0.500, 0.000)
La (0.667, 0.500, 0.665)
La (0.664, 0.000, 0.672)
La (0.333, 0.500, 0.335)
La (0.336, 0.000, 0.328)
Er (0.000, 0.000, 0.000)

Computed properties:
The space-group type is P2/m. The formation energy is -0.552 eV/atom.

=====

First-principles (PBE) data for crystalline LaEr2Pb at its relaxed geometry, as listed in Alexandria via LeMat-Bulk.

Cell: 3.642 3.642 9.323 Å, 90.00 90.00 90.00°
Sites, in units of the cell vectors:
La (0.500, 0.500, 0.500)
Pb (0.500, 0.500, 0.000)
Er (0.000, 0.000, 0.227)
Er (0.000, 0.000, 0.773)

Computed properties:
As for the distance to the lowest polymorph of the same formula: 140.8 meV per atom. The space-group type is P4/mmm. The formation energy is -0.194 eV/atom.

=====

First-principles (PBE) data for crystalline La3ErPb5 at its relaxed geometry, as listed in Alexandria via LeMat-Bulk.

Cell: 6.731 9.808 9.808 Å, 120.00 90.00 90.00°
Sites, in units of the cell vectors:
Pb (0.750, 0.279, 0.279)
Pb (0.000, 0.667, 0.333)
Pb (0.500, 0.333, 0.667)
Pb (0.750, 0.000, 0.721)
Pb (0.500, 0.667, 0.333)
Pb (0.250, 0.279, 0.000)
Pb (0.250, 0.721, 0.721)
Pb (0.750, 0.721, 0.000)
Pb (0.250, 0.000, 0.279)
Pb (0.000, 0.333, 0.667)
Er (0.000, 0.000, 0.000)
Er (0.500, 0.000, 0.000)
La (0.250, 0.617, 0.000)
La (0.750, 0.000, 0.383)
La (0.250, 0.000, 0.617)
La (0.750, 0.383, 0.000)
La (0.750, 0.617, 0.617)
La (0.250, 0.383, 0.383)

Computed properties:
The space-group type is P6_3/mcm. The formation energy is -0.536 eV/atom.

=====

First-principles (PBE) data for crystalline LaEr3Pb2 at its relaxed geometry, as listed in Alexandria via LeMat-Bulk.

Cell: 4.657 10.591 9.563 Å, 124.32 90.00 102.70°
Sites, in units of the cell vectors:
Er (0.058, 0.116, 0.429)
Er (0.694, 0.388, 0.502)
Er (0.306, 0.612, 0.498)
Er (0.942, 0.884, 0.571)
Er (0.637, 0.273, 0.789)
Er (0.363, 0.727, 0.211)
Pb (0.759, 0.518, 0.219)
Pb (0.486, 0.972, 0.822)
Pb (0.241, 0.482, 0.781)
Pb (0.514, 0.028, 0.178)
La (0.885, 0.770, 0.910)
La (0.115, 0.230, 0.090)

Computed properties:
As for the distance to the lowest polymorph of the same formula: 33.8 meV per atom. The space-group type is C2/m. The formation energy is -0.335 eV/atom.

=====

Copy entry 3 word for word.
First-principles (PBE) data for crystalline La3ErPb5 at its relaxed geometry, as listed in Alexandria via LeMat-Bulk.

Cell: 6.731 9.808 9.808 Å, 120.00 90.00 90.00°
Sites, in units of the cell vectors:
Pb (0.750, 0.279, 0.279)
Pb (0.000, 0.667, 0.333)
Pb (0.500, 0.333, 0.667)
Pb (0.750, 0.000, 0.721)
Pb (0.500, 0.667, 0.333)
Pb (0.250, 0.279, 0.000)
Pb (0.250, 0.721, 0.721)
Pb (0.750, 0.721, 0.000)
Pb (0.250, 0.000, 0.279)
Pb (0.000, 0.333, 0.667)
Er (0.000, 0.000, 0.000)
Er (0.500, 0.000, 0.000)
La (0.250, 0.617, 0.000)
La (0.750, 0.000, 0.383)
La (0.250, 0.000, 0.617)
La (0.750, 0.383, 0.000)
La (0.750, 0.617, 0.617)
La (0.250, 0.383, 0.383)

Computed properties:
The space-group type is P6_3/mcm. The formation energy is -0.536 eV/atom.